(1)
Density functional theory data (GGA-PBE) for a geometry-optimized PaTiCu2O8 structure.

Computed properties:
The energy relative to the elements, uncorrected is -1966 kJ/mol of formula units. The value obtained for the total energy is -7.14 eV/atom. The calculation puts the density of states at the Fermi level at 3.77 states/eV per cell. For the total magnetization, the calculation gives 0.990 μB per formula unit. Its space-group type is No. 119.

Structure (POSCAR):
```
PaTiCu2O8
1.0
-3.371 3.371 3.227
3.371 -3.371 3.227
3.371 3.371 -3.227
Pa Ti Cu O
1 1 2 8
Direct
0.000 0.000 0.000
0.250 0.750 0.500
0.500 0.500 0.000
0.750 0.250 0.500
0.294 0.099 0.805
0.294 0.489 0.195
0.355 0.025 0.330
0.511 0.706 0.805
0.695 0.025 0.670
0.901 0.706 0.195
0.975 0.305 0.330
0.975 0.645 0.670
```

=====

(2)
Density functional theory data (GGA-PBE) for a geometry-optimized TeP2Os structure.

Computed properties:
The energy relative to the elements, uncorrected is 207 kJ/mol of formula units. The value obtained for the total energy is -5.76 eV/atom. The calculation puts the density of states at the Fermi level at 2.15 states/eV per cell. For the total magnetization, the calculation gives 0.000 μB per formula unit. Its space-group type is No. 65.

Structure (POSCAR):
```
TeP2Os
1.0
1.480 -2.559 0.000
1.480 2.559 0.000
0.000 0.000 10.680
Te P Os
1 2 1
Direct
0.000 0.000 0.000
0.500 0.500 0.321
0.500 0.500 0.679
0.000 0.000 0.500
```